Record 1
{"formula": "CrCoAg2", "functional": "SCAN", "state": "PBEsol geometry", "formation_enthalpy_0k_ev_per_atom": 0.66, "dft_energy_ev_per_atom": -23.9486, "e_above_lowest_polymorph_ev_per_atom": 0.244, "cell": [[2.593, 0.000, 0.000], [0.000, 2.593, 0.000], [0.000, 0.000, 8.186]], "species": ["Ag", "Co", "Cr", "Ag"], "fractional_positions": [[0.000, 0.000, 0.245], [0.500, 0.500, 0.000], [0.500, 0.500, 0.500], [0.000, 0.000, 0.755]]}

Record 2
{"formula": "AsPRh2", "functional": "SCAN", "state": "PBEsol geometry", "formation_enthalpy_0k_ev_per_atom": 0.06, "dft_energy_ev_per_atom": -24.4761, "e_above_lowest_polymorph_ev_per_atom": 0.519, "cell": [[2.851, 0.000, 0.000], [0.000, 4.031, 0.000], [0.000, 0.000, 4.968]], "species": ["Rh", "As", "Rh", "P"], "fractional_positions": [[0.000, 0.000, 0.000], [0.500, 0.500, 0.000], [0.500, 0.000, 0.500], [0.000, 0.500, 0.500]]}

Record 3
{"formula": "KRe2Tc", "functional": "SCAN", "state": "PBEsol geometry", "formation_enthalpy_0k_ev_per_atom": 1.07, "dft_energy_ev_per_atom": -45.3213, "e_above_lowest_polymorph_ev_per_atom": 0.195, "cell": [[-2.300, 0.148, -2.066], [-0.645, -2.985, 0.505], [-5.336, 2.184, 6.097]], "species": ["Tc", "K", "Re", "Re"], "fractional_positions": [[0.500, 0.500, 0.000], [0.500, 0.500, 0.500], [0.000, 0.000, 0.161], [0.000, 0.000, 0.839]]}

Record 4
{"formula": "CrCd", "functional": "SCAN", "state": "PBEsol geometry", "formation_enthalpy_0k_ev_per_atom": 1.14, "dft_energy_ev_per_atom": -23.2574, "cell": [[4.368, 0.000, 0.000], [2.184, 3.783, 0.000], [2.184, 1.261, 3.567]], "species": ["Cd", "Cr"], "fractional_positions": [[0.000, 0.000, 0.000], [0.750, 0.750, 0.750]]}

Record 5
{"formula": "MnNiSbTe2", "functional": "SCAN", "state": "PBEsol geometry", "dft_energy_ev_per_atom": -28.8774, "e_form_raw_kcal_per_mol_atoms": 8.3, "e_above_lowest_polymorph_ev_per_atom": 0.000, "cell": [[-1.675, 0.612, -4.352], [3.536, -3.224, -1.814], [-3.219, -3.918, 0.688]], "species": ["Mn", "Sb", "Te", "Te", "Ni"], "fractional_positions": [[0.500, 0.500, 0.500], [0.500, 0.000, 0.000], [0.000, 0.000, 0.500], [0.000, 0.500, 0.000], [0.000, 0.000, 0.000]]}

Record 6
{"formula": "Li2MoH2", "functional": "SCAN", "state": "PBEsol geometry", "dft_energy_ev_per_atom": -8.7682, "cell": [[-0.319, -2.911, -0.008], [2.090, -0.224, -2.039], [2.427, 1.195, 4.459]], "species": ["Li", "Mo", "H", "H", "Li"], "fractional_positions": [[0.250, 0.750, 0.500], [0.000, 0.000, 0.000], [0.401, 0.401, 0.803], [0.599, 0.599, 0.197], [0.750, 0.250, 0.500]]}

Calculated volume in Å³ per cell, matching the order above: 55.0, 57.1, 80.4, 58.9, 123.2, 41.0